Ac2Al4GaHg3: optimized geometry, PBE.

DOS at the Fermi energy: 0.2721 states/eV/atom
Energy of formation from the pure elements: -3.9 eV/f.u.

Lattice parameters (Å, degrees): 4.633 4.633 11.030 90.00 90.00 90.00
Fractional coordinates of all 10 atoms:
Ac 0.000 0.500 0.245
Ac 0.500 0.000 0.755
Al 0.000 0.000 0.500
Al 0.000 0.500 0.873
Al 0.500 0.000 0.127
Al 0.500 0.500 0.500
Ga 0.500 0.500 0.000
Hg 0.000 0.000 0.000
Hg 0.000 0.500 0.634
Hg 0.500 0.000 0.366

NdDyHo5Th2: optimized geometry, PBE.

DOS at the Fermi energy: 1.3495 states/eV/atom
Energy of formation from the pure elements: 3.0 eV/f.u.

Lattice parameters (Å, degrees): 9.905 9.905 9.905 127.65 127.65 77.20
Fractional coordinates of all 18 atoms:
Nd 0.250 0.750 0.500
Nd 0.750 0.250 0.500
Dy 0.250 0.250 0.000
Dy 0.750 0.750 0.000
Ho 0.000 0.000 0.000
Ho 0.069 0.569 0.917
Ho 0.152 0.069 0.500
Ho 0.348 0.848 0.917
Ho 0.431 0.348 0.500
Ho 0.500 0.500 0.000
Ho 0.569 0.652 0.500
Ho 0.652 0.152 0.083
Ho 0.848 0.931 0.500
Ho 0.931 0.431 0.083
Th 0.119 0.381 0.500
Th 0.381 0.881 0.261
Th 0.619 0.119 0.739
Th 0.881 0.619 0.500

Y2ScHg: optimized geometry, PBE.

DOS at the Fermi energy: 1.2860 states/eV/atom
Energy of formation from the pure elements: -0.6 eV/f.u.

Lattice parameters (Å, degrees): 5.781 5.781 5.781 131.85 131.85 70.46
Fractional coordinates of all 4 atoms:
Y 0.250 0.750 0.500
Y 0.750 0.250 0.500
Sc 0.000 0.000 0.000
Hg 0.500 0.500 0.000

ZrNiIrPt2: optimized geometry, PBE.

DOS at the Fermi energy: 1.6811 states/eV/atom
Energy of formation from the pure elements: 4.0 eV/f.u.

Lattice parameters (Å, degrees): 4.867 4.867 4.398 90.00 90.00 90.00
Fractional coordinates of all 5 atoms:
Zr 0.000 0.000 0.000
Ni 0.500 0.500 0.000
Ir 0.500 0.500 0.500
Pt 0.000 0.500 0.500
Pt 0.500 0.000 0.500

ErAgPt: optimized geometry, PBE.

DOS at the Fermi energy: 0.4187 states/eV/atom
Energy of formation from the pure elements: -2.4 eV/f.u.
Offset from the most stable computed form: 0.00 eV/f.u.

Lattice parameters (Å, degrees): 7.505 7.505 4.557 90.00 90.00 152.30
Fractional coordinates of all 6 atoms:
Er 0.090 0.910 0.750
Er 0.910 0.090 0.250
Ag 0.235 0.765 0.250
Ag 0.765 0.235 0.750
Pt 0.429 0.571 0.750
Pt 0.571 0.429 0.250

CaNd5Te8: optimized geometry, PBE.

DOS at the Fermi energy: 0.4400 states/eV/atom
Formation energy without anion corrections: -1970.7 kJ/mol of formula units

Lattice parameters (Å, degrees): 8.280 8.280 8.280 109.69 109.69 109.03
Fractional coordinates of all 14 atoms:
Ca 0.000 0.000 0.000
Nd 0.120 0.494 0.870
Nd 0.250 0.750 0.500
Nd 0.506 0.376 0.627
Nd 0.624 0.251 0.130
Nd 0.749 0.880 0.373
Te 0.027 0.275 0.397
Te 0.231 0.129 0.748
Te 0.370 0.973 0.248
Te 0.381 0.483 0.252
Te 0.517 0.769 0.898
Te 0.725 0.121 0.752
Te 0.871 0.619 0.102
Te 0.879 0.630 0.603